(1)
AcSmO | GGA-PBE | optimized geometry

Cell lengths 3.6154, 7.5369, 7.3378 Å; angles 117.98, 104.26, 90.00 degrees
Fractional positions:
O: 0.3418 0.6413 0.6836
O: 0.6582 0.3587 0.3164
Sm: 0.2570 0.2910 0.5140
Sm: 0.7430 0.7090 0.4860
Ac: 0.0077 0.2704 0.0153
Ac: 0.9923 0.7296 0.9847

energy above the lowest structure with this stoichiometry = 41 meV per atom
total magnetization = 0.000 μB per formula unit
electronic total energy = -6.16 eV/atom
ΔE_f (raw) = -1.56 eV/atom


(2)
Ac3SmO6 | GGA-PBE | optimized geometry

Cell lengths 7.3379, 7.3379, 7.3379 Å; angles 91.95, 91.95, 91.95 degrees
Fractional positions:
Ac: 0.4431 0.9362 0.7474
Ac: 0.9362 0.7474 0.4431
Ac: 0.2526 0.5569 0.0638
Ac: 0.7474 0.4431 0.9362
Ac: 0.0638 0.2526 0.5569
Ac: 0.5569 0.0638 0.2526
Sm: 0.0000 0.0000 0.0000
Sm: 0.5000 0.5000 0.5000
O: 0.3064 0.9115 0.0620
O: 0.0885 0.9380 0.6936
O: 0.5962 0.8068 0.4663
O: 0.9380 0.6936 0.0885
O: 0.4663 0.5962 0.8068
O: 0.1932 0.5337 0.4038
O: 0.8068 0.4663 0.5962
O: 0.5337 0.4038 0.1932
O: 0.0620 0.3064 0.9115
O: 0.4038 0.1932 0.5337
O: 0.9115 0.0620 0.3064
O: 0.6936 0.0885 0.9380

total magnetization = 0.000 μB per formula unit
electronic total energy = -8.03 eV/atom
ΔE_f (raw) = -3.35 eV/atom


(3)
AcSmO3 | GGA-PBE | optimized geometry

Cell lengths 6.0109, 6.0109, 6.7342 Å; angles 63.49, 63.49, 60.00 degrees
Fractional positions:
Ac: 0.1406 0.1406 0.5782
Ac: 0.8594 0.8594 0.4218
Sm: 0.3508 0.3508 0.9477
Sm: 0.6492 0.6492 0.0523
O: 0.2795 0.9505 0.2447
O: 0.9505 0.5252 0.2447
O: 0.5252 0.2795 0.2447
O: 0.7205 0.4748 0.7553
O: 0.0495 0.7205 0.7553
O: 0.4748 0.0495 0.7553

total magnetization = 0.000 μB per formula unit
electronic total energy = -7.97 eV/atom
ΔE_f (raw) = -3.23 eV/atom


(4)
AcSmO | GGA-PBE | optimized geometry

Cell lengths 3.7868, 3.7868, 6.3368 Å; angles 90.00, 90.00, 120.00 degrees
Fractional positions:
Ac: 0.0000 0.0000 0.9067
O: 0.3333 0.6667 0.6377
Sm: 0.6667 0.3333 0.4556

energy above the lowest structure with this stoichiometry = 0 meV per atom
total magnetization = 0.116 μB per formula unit
electronic total energy = -6.20 eV/atom
ΔE_f (raw) = -1.60 eV/atom


(5)
AcSm2O | GGA-PBE | optimized geometry

Cell lengths 3.6646, 3.6646, 10.0809 Å; angles 79.53, 79.53, 60.00 degrees
Fractional positions:
Ac: 0.0000 0.0000 0.0000
O: 0.5000 0.5000 0.5000
Sm: 0.1222 0.1222 0.6334
Sm: 0.8778 0.8778 0.3666

energy above the lowest structure with this stoichiometry = 0 meV per atom
total magnetization = 0.002 μB per formula unit
electronic total energy = -5.78 eV/atom
ΔE_f (raw) = -1.16 eV/atom


(6)
Ac3SmO | GGA-PBE | optimized geometry

Cell lengths 5.4225, 5.4225, 5.4225 Å; angles 90.00, 90.00, 90.00 degrees
Fractional positions:
Ac: 0.0000 0.5000 0.0000
Ac: 0.0000 0.0000 0.5000
Ac: 0.5000 0.0000 0.0000
O: 0.0000 0.0000 0.0000
Sm: 0.5000 0.5000 0.5000

total magnetization = 0.000 μB per formula unit
electronic total energy = -5.46 eV/atom
ΔE_f (raw) = -1.06 eV/atom


(7)
Ac2SmO | GGA-PBE | optimized geometry

Cell lengths 3.8087, 3.8087, 10.4169 Å; angles 79.47, 79.47, 60.00 degrees
Fractional positions:
Ac: 0.1175 0.1175 0.6476
Ac: 0.8825 0.8825 0.3524
O: 0.5000 0.5000 0.5000
Sm: 0.0000 0.0000 0.0000

total magnetization = 0.001 μB per formula unit
electronic total energy = -5.44 eV/atom
ΔE_f (raw) = -0.97 eV/atom


(8)
AcSmO3 | GGA-PBE | optimized geometry

Cell lengths 4.1210, 6.0397, 9.5363 Å; angles 118.61, 90.00, 90.00 degrees
Fractional positions:
Ac: 0.7500 0.1048 0.6105
Ac: 0.2500 0.4312 0.3895
Sm: 0.2500 0.7149 0.8331
Sm: 0.7500 0.8211 0.1669
O: 0.7500 0.1978 0.3819
O: 0.7500 0.5903 0.8800
O: 0.2500 0.9458 0.1200
O: 0.2500 0.3383 0.6181
O: 0.2500 0.8674 0.6595
O: 0.7500 0.6686 0.3405

total magnetization = 0.000 μB per formula unit
electronic total energy = -8.08 eV/atom
ΔE_f (raw) = -3.34 eV/atom


Question: Which of these has the highest electronic total energy?
Answer: Ac2SmO


Copy entry 3 word for word.
AcSmO3 | GGA-PBE | optimized geometry

Cell lengths 6.0109, 6.0109, 6.7342 Å; angles 63.49, 63.49, 60.00 degrees
Fractional positions:
Ac: 0.1406 0.1406 0.5782
Ac: 0.8594 0.8594 0.4218
Sm: 0.3508 0.3508 0.9477
Sm: 0.6492 0.6492 0.0523
O: 0.2795 0.9505 0.2447
O: 0.9505 0.5252 0.2447
O: 0.5252 0.2795 0.2447
O: 0.7205 0.4748 0.7553
O: 0.0495 0.7205 0.7553
O: 0.4748 0.0495 0.7553

total magnetization = 0.000 μB per formula unit
electronic total energy = -7.97 eV/atom
ΔE_f (raw) = -3.23 eV/atom


Question: Which value of total magnetization does entry 5 give?
Answer: 0.002 μB per formula unit